1.
Material: Pm3Ho4Tm8
Method: DFT, PBE-GGA
State: optimized geometry

## Properties
Formation energy ... 6.0 eV/f.u.
DOS(E_F) ... 61.7 states/eV per cell
Total magnetic moment ... 0.02 Bohr magnetons per cell

Lattice parameters (Å, degrees): 13.2472 12.8139 6.6670 90.00 120.09 90.00
With the nearest neighbours (Å) after each atom.
Space group C2/m (No. 12)
One atom of each set of equivalent atoms:
Pm (0.0000, 0.0000, 0.0000) x2  6 Tm 3.26-3.46, 2 Ho 3.33
Pm (0.2500, 0.2500, 0.0000) x4  4 Tm 3.21-3.31, 2 Ho 3.33
Ho (0.0000, 0.0000, 0.5000) x2  2 Pm 3.33, 4 Tm 3.49-3.54
Ho (0.0000, 0.5000, 0.0000) x2  6 Tm 3.15-3.19
Ho (0.2500, 0.2500, 0.5000) x4  4 Tm 3.21-3.32, 2 Pm 3.33
Tm (0.0000, 0.2540, 0.0000) x4  3 Ho 3.15-3.32, 3 Pm 3.26-3.31
Tm (0.0000, 0.3635, 0.5000) x4  7 Tm 3.50-3.62, 4 Ho 3.62-3.76, 2 Pm 3.62
Tm (0.2322, 0.5000, 0.9691) x4  2 Ho 3.18-3.54, 4 Tm 3.21-3.56, 3 Pm 3.21-3.45
Tm (0.2343, 0.5000, 0.4903) x4  4 Ho 3.19-3.49, 2 Tm 3.21-3.46, 1 Pm 3.46

---

2.
Material: CdInNi
Method: DFT, PBE-GGA
State: optimized geometry

## Properties
Formation energy ... 0.1 eV/f.u.
DOS(E_F) ... 2.3 states/eV per cell
Total magnetic moment ... 0.00 Bohr magnetons per cell

Lattice parameters (Å, degrees): 3.0836 3.0836 11.5883 90.00 90.00 90.00
With the nearest neighbours (Å) after each atom.
Space group I4mm (No. 107)
One atom of each set of equivalent atoms:
Cd (0.0000, 0.0000, 0.0000) x2  4 Ni 2.77, 4 Cd 3.08
In (0.0000, 0.0000, 0.2838) x2  4 Ni 2.70
Ni (0.0000, 0.0000, 0.6469) x2  4 In 2.70, 4 Cd 2.77

---

3.
Material: Hg2Ir
Method: DFT, PBE-GGA
State: optimized geometry

## Properties
Formation energy ... 1.6 eV/f.u.
DOS(E_F) ... 9.3 states/eV per cell
Total magnetic moment ... 0.00 Bohr magnetons per cell

Lattice parameters (Å, degrees): 11.2509 3.0915 6.8300 90.00 104.86 90.00
With the nearest neighbours (Å) after each atom.
Space group C2/m (No. 12)
One atom of each set of equivalent atoms:
Hg (0.1327, 0.0000, 0.0377) x4  4 Ir 2.88-3.03, 8 Hg 2.90-3.21
Hg (0.1780, 0.0000, 0.6280) x4  4 Ir 2.83-2.93, 7 Hg 2.97-3.11
Ir (0.0305, 0.5000, 0.3105) x4  8 Hg 2.83-3.03, 3 Ir 2.84-3.09

---

4.
Material: V3ZnCd
Method: DFT, PBE-GGA
State: optimized geometry

## Properties
Formation energy ... 5.9 eV/f.u.
DOS(E_F) ... 5.2 states/eV per cell
Total magnetic moment ... 1.62 Bohr magnetons per cell
Distance to the lowest polymorph of the same formula ... 0.00 kJ/mol of atoms

Lattice parameters (Å, degrees): 4.5148 4.5148 4.5148 90.00 90.00 90.00
With the nearest neighbours (Å) after each atom.
Space group Pm-3m (No. 221)
One atom of each set of equivalent atoms:
V (0.0000, 0.0000, 0.5000) x3  2 Zn 2.26
Zn (0.0000, 0.0000, 0.0000) x1  6 V 2.26
Cd (0.5000, 0.5000, 0.5000) x1  12 V 3.19

---

Total DFT energy (no corrections)? In order: -4.15; -3.12; -2.63; -4.74 eV/atom.